a:
# NaNiI2N

An optimized crystal structure of NaNiI2N (PBE-GGA, Alexandria).

Structure (extended XYZ):
```
5
Lattice="-4.653 -3.535 0.067 1.032 -1.252 5.614 -2.543 3.370 1.219" Properties=species:S:1:pos:R:3 pbc="T T T"
I 0.516 -0.626 2.807
I -2.326 -1.767 0.033
Ni -3.082 -0.708 3.450
N -1.272 1.685 0.610
Na 0.000 0.000 0.000
```

## Properties
V = 150 Å³/cell
space group = No. 123

---

b:
# NaNiI2N

An optimized crystal structure of NaNiI2N (PBE-GGA, Alexandria).

Structure (extended XYZ):
```
5
Lattice="-5.395 1.455 -1.360 -1.264 -5.536 -0.911 -0.947 -0.342 3.391" Properties=species:S:1:pos:R:3 pbc="T T T"
I -0.632 -2.768 -0.455
I -2.697 0.728 -0.680
Ni 0.000 0.000 0.000
N -0.473 -0.171 1.695
Na -3.803 -2.211 0.560
```

## Properties
V = 117 Å³/cell
space group = No. 123

---

Which of them is the most stable? Correct choice: b.

---

a:
# NaI2NO

An optimized crystal structure of NaI2NO (PBE-GGA, Alexandria).

Structure (extended XYZ):
```
5
Lattice="-2.254 -4.109 3.820 -0.533 -3.941 -4.554 3.938 -1.435 0.781" Properties=species:S:1:pos:R:3 pbc="T T T"
I -0.266 -1.971 -2.277
I -1.127 -2.054 1.910
Na 0.000 0.000 0.000
O 1.969 -0.717 0.390
N 0.575 -4.742 0.024
```

## Properties
V = 156 Å³/cell
space group = No. 123

---

b:
# NaI2NO

An optimized crystal structure of NaI2NO (PBE-GGA, Alexandria).

Structure (extended XYZ):
```
5
Lattice="5.247 0.000 0.000 0.000 5.247 0.000 0.000 0.000 4.136" Properties=species:S:1:pos:R:3 pbc="T T T"
I 0.000 2.623 0.000
I 2.623 0.000 0.000
Na 2.623 2.623 2.068
O 0.000 0.000 0.000
N 0.000 0.000 2.068
```

## Properties
V = 114 Å³/cell
space group = No. 123

---

Which of them is the most stable? Correct choice: b.

---

a:
# NaOsI2N

An optimized crystal structure of NaOsI2N (PBE-GGA, Alexandria).

Structure (extended XYZ):
```
5
Lattice="5.697 0.000 0.000 0.000 5.697 0.000 0.000 0.000 3.770" Properties=species:S:1:pos:R:3 pbc="T T T"
I 0.000 2.848 0.000
I 2.848 0.000 0.000
Na 2.848 2.848 1.885
Os 0.000 0.000 0.000
N 0.000 0.000 1.885
```

## Properties
V = 122 Å³/cell
space group = No. 123

---

b:
# NaOsI2N

An optimized crystal structure of NaOsI2N (PBE-GGA, Alexandria).

Structure (extended XYZ):
```
5
Lattice="-4.665 2.777 -1.927 -1.349 -4.541 -3.279 -2.321 -1.651 3.240" Properties=species:S:1:pos:R:3 pbc="T T T"
I -0.674 -2.270 -1.640
I -2.332 1.389 -0.964
Na 0.000 0.000 0.000
Os -4.167 -1.707 -0.983
N -1.161 -0.825 1.620
```

## Properties
V = 143 Å³/cell
space group = No. 123

---

Which of them is the most stable? Correct choice: a.

---

a:
# NaPI2N

An optimized crystal structure of NaPI2N (PBE-GGA, Alexandria).

Structure (extended XYZ):
```
5
Lattice="6.218 0.000 0.000 0.000 6.218 0.000 0.000 0.000 3.406" Properties=species:S:1:pos:R:3 pbc="T T T"
I 0.000 3.109 0.000
I 3.109 0.000 0.000
P 0.000 0.000 0.000
N 0.000 0.000 1.703
Na 3.109 3.109 1.703
```

## Properties
V = 132 Å³/cell
space group = No. 123

---

b:
# NaPI2N

An optimized crystal structure of NaPI2N (PBE-GGA, Alexandria).

Structure (extended XYZ):
```
5
Lattice="-4.115 2.642 -3.092 -3.976 -1.686 3.850 0.649 3.682 2.282" Properties=species:S:1:pos:R:3 pbc="T T T"
I -1.988 -0.843 1.925
I -2.057 1.321 -1.546
P -3.721 2.319 1.520
N 0.324 1.841 1.141
Na 0.000 0.000 0.000
```

## Properties
V = 147 Å³/cell
space group = No. 123

---

Which of them is the most stable? Correct choice: a.

---

a:
# NaPIN2

An optimized crystal structure of NaPIN2 (PBE-GGA, Alexandria).

Structure (extended XYZ):
```
5
Lattice="-1.895 0.469 -3.118 -2.330 -2.659 1.016 -3.942 4.638 3.094" Properties=species:S:1:pos:R:3 pbc="T T T"
I -1.971 2.319 1.547
P 0.000 0.000 0.000
N -1.165 -1.329 0.508
N -0.948 0.235 -1.559
Na -4.084 1.224 0.496
```

## Properties
V = 92 Å³/cell
space group = No. 123

---

b:
# NaPIN2

An optimized crystal structure of NaPIN2 (PBE-GGA, Alexandria).

Structure (extended XYZ):
```
5
Lattice="-2.422 1.776 -3.221 -2.983 -3.205 0.476 -3.199 3.633 4.409" Properties=species:S:1:pos:R:3 pbc="T T T"
I -1.600 1.816 2.205
P -4.302 1.102 0.832
N -1.492 -1.602 0.238
N -1.211 0.888 -1.610
Na 0.000 0.000 0.000
```

## Properties
V = 127 Å³/cell
space group = No. 123

---

Which of them is the most stable? Correct choice: a.

---

a:
# NaPbIN2

An optimized crystal structure of NaPbIN2 (PBE-GGA, Alexandria).

Structure (extended XYZ):
```
5
Lattice="4.593 0.000 0.000 0.000 4.593 0.000 0.000 0.000 6.764" Properties=species:S:1:pos:R:3 pbc="T T T"
Pb 0.000 0.000 0.000
I 0.000 0.000 3.382
N 0.000 2.296 0.000
N 2.296 0.000 0.000
Na 2.296 2.296 3.382
```

## Properties
V = 143 Å³/cell
space group = No. 123

---

b:
# NaPbIN2

An optimized crystal structure of NaPbIN2 (PBE-GGA, Alexandria).

Structure (extended XYZ):
```
5
Lattice="4.889 0.000 0.000 0.000 4.889 0.000 0.000 0.000 6.031" Properties=species:S:1:pos:R:3 pbc="T T T"
Pb 2.445 2.445 3.016
I 0.000 0.000 3.016
N 0.000 2.445 0.000
N 2.445 0.000 0.000
Na 0.000 0.000 0.000
```

## Properties
V = 144 Å³/cell
space group = No. 123

---

Which of them is the most stable? Correct choice: a.

---

a:
# NaPbI2N

An optimized crystal structure of NaPbI2N (PBE-GGA, Alexandria).

Structure (extended XYZ):
```
5
Lattice="6.377 0.000 0.000 0.000 6.377 0.000 0.000 0.000 5.434" Properties=species:S:1:pos:R:3 pbc="T T T"
Pb 0.000 0.000 0.000
I 0.000 3.189 0.000
I 3.189 0.000 0.000
N 0.000 0.000 2.717
Na 3.189 3.189 2.717
```

## Properties
V = 221 Å³/cell
space group = No. 123

---

b:
# NaPbI2N

An optimized crystal structure of NaPbI2N (PBE-GGA, Alexandria).

Structure (extended XYZ):
```
5
Lattice="-2.227 5.515 -0.714 -4.947 -1.613 2.968 1.901 1.267 3.857" Properties=species:S:1:pos:R:3 pbc="T T T"
Pb -2.636 2.584 3.056
I -2.473 -0.807 1.484
I -1.113 2.757 -0.357
N 0.951 0.633 1.929
Na 0.000 0.000 0.000
```

## Properties
V = 161 Å³/cell
space group = No. 123

---

Which of them is the most stable? Correct choice: a.

---

a:
# NaPb2IN

An optimized crystal structure of NaPb2IN (PBE-GGA, Alexandria).

Structure (extended XYZ):
```
5
Lattice="-5.795 -0.618 -0.141 0.281 -3.241 2.629 -0.498 3.633 4.532" Properties=species:S:1:pos:R:3 pbc="T T T"
Pb -0.249 1.817 2.266
Pb -2.897 -0.309 -0.071
I -3.006 -0.113 3.510
N 0.141 -1.620 1.315
Na 0.000 0.000 0.000
```

## Properties
V = 142 Å³/cell
space group = No. 123

---

b:
# NaPb2IN

An optimized crystal structure of NaPb2IN (PBE-GGA, Alexandria).

Structure (extended XYZ):
```
5
Lattice="-2.189 -4.223 -3.179 3.150 -3.520 2.507 -4.072 -0.846 3.929" Properties=species:S:1:pos:R:3 pbc="T T T"
Pb -2.036 -0.423 1.964
Pb -1.095 -2.111 -1.589
I 1.575 -1.760 1.253
N -1.555 -4.295 1.628
Na 0.000 0.000 0.000
```

## Properties
V = 175 Å³/cell
space group = No. 123

---

Which of them is the most stable? Correct choice: a.

---

a:
# NaPtIN2

An optimized crystal structure of NaPtIN2 (PBE-GGA, Alexandria).

Structure (extended XYZ):
```
5
Lattice="4.260 0.000 0.000 0.000 4.260 0.000 0.000 0.000 6.370" Properties=species:S:1:pos:R:3 pbc="T T T"
I 0.000 0.000 3.185
Na 0.000 0.000 0.000
Pt 2.130 2.130 3.185
N 0.000 2.130 0.000
N 2.130 0.000 0.000
```

## Properties
V = 116 Å³/cell
space group = No. 123

---

b:
# NaPtIN2

An optimized crystal structure of NaPtIN2 (PBE-GGA, Alexandria).

Structure (extended XYZ):
```
5
Lattice="-1.029 2.736 -2.547 -2.758 -2.339 -1.398 -5.605 3.201 5.702" Properties=species:S:1:pos:R:3 pbc="T T T"
I -2.803 1.601 2.851
Na -4.696 1.799 0.879
Pt 0.000 0.000 0.000
N -1.379 -1.169 -0.699
N -0.514 1.368 -1.274
```

## Properties
V = 129 Å³/cell
space group = No. 123

---

Which of them is the most stable? Correct choice: b.

---

a:
# NaReIN2

An optimized crystal structure of NaReIN2 (PBE-GGA, Alexandria).

Structure (extended XYZ):
```
5
Lattice="3.942 0.000 0.000 0.000 3.942 0.000 0.000 0.000 5.879" Properties=species:S:1:pos:R:3 pbc="T T T"
I 0.000 0.000 2.939
Re 0.000 0.000 0.000
N 0.000 1.971 0.000
N 1.971 0.000 0.000
Na 1.971 1.971 2.939
```

## Properties
V = 91 Å³/cell
space group = No. 123

---

b:
# NaReIN2

An optimized crystal structure of NaReIN2 (PBE-GGA, Alexandria).

Structure (extended XYZ):
```
5
Lattice="4.088 0.000 0.000 0.000 4.088 0.000 0.000 0.000 5.213" Properties=species:S:1:pos:R:3 pbc="T T T"
I 0.000 0.000 2.606
Re 2.044 2.044 2.606
N 0.000 2.044 0.000
N 2.044 0.000 0.000
Na 0.000 0.000 0.000
```

## Properties
V = 87 Å³/cell
space group = No. 123

---

Which of them is the most stable? Correct choice: a.

---

a:
# NaRhIN2

An optimized crystal structure of NaRhIN2 (PBE-GGA, Alexandria).

Structure (extended XYZ):
```
5
Lattice="-2.451 3.010 -0.435 -2.333 -2.220 -2.211 -3.314 -1.915 5.420" Properties=species:S:1:pos:R:3 pbc="T T T"
I -1.657 -0.957 2.710
Na -4.049 -0.562 1.387
Rh 0.000 0.000 0.000
N -1.167 -1.110 -1.105
N -1.226 1.505 -0.218
```

## Properties
V = 101 Å³/cell
space group = No. 123

---

b:
# NaRhIN2

An optimized crystal structure of NaRhIN2 (PBE-GGA, Alexandria).

Structure (extended XYZ):
```
5
Lattice="-0.569 4.260 0.143 -1.640 -0.086 -3.974 -5.660 -0.835 2.354" Properties=species:S:1:pos:R:3 pbc="T T T"
I -2.830 -0.417 1.177
Na 0.000 0.000 0.000
Rh -3.935 1.670 -0.739
N -0.820 -0.043 -1.987
N -0.284 2.130 0.071
```

## Properties
V = 114 Å³/cell
space group = No. 123

---

c:
# NaRhIN2

An optimized crystal structure of NaRhIN2 (PBE-GGA, Alexandria).

Structure (extended XYZ):
```
5
Lattice="-0.546 3.153 -2.794 0.131 -3.644 -4.138 -4.211 -0.476 0.286" Properties=species:S:1:pos:R:3 pbc="T T T"
I 0.000 0.000 0.000
Na 0.065 -1.822 -2.069
Rh -2.313 -0.483 -3.323
N -2.106 -0.238 0.143
N -0.273 1.576 -1.397
```

## Properties
V = 100 Å³/cell
space group = No. 123

---

Which of them is the most stable? Correct choice: a.

---

a:
# NaRuI2N

An optimized crystal structure of NaRuI2N (PBE-GGA, Alexandria).

Structure (extended XYZ):
```
5
Lattice="5.691 0.000 0.000 0.000 5.691 0.000 0.000 0.000 3.754" Properties=species:S:1:pos:R:3 pbc="T T T"
I 0.000 2.845 0.000
I 2.845 0.000 0.000
Ru 0.000 0.000 0.000
N 0.000 0.000 1.877
Na 2.845 2.845 1.877
```

## Properties
V = 122 Å³/cell
space group = No. 123

---

b:
# NaRuI2N

An optimized crystal structure of NaRuI2N (PBE-GGA, Alexandria).

Structure (extended XYZ):
```
5
Lattice="5.656 0.000 0.000 0.000 5.656 0.000 0.000 0.000 4.245" Properties=species:S:1:pos:R:3 pbc="T T T"
I 0.000 2.828 0.000
I 2.828 0.000 0.000
Ru 2.828 2.828 2.123
N 0.000 0.000 2.123
Na 0.000 0.000 0.000
```

## Properties
V = 136 Å³/cell
space group = No. 123

---

Which of them is the most stable? Correct choice: a.

---

a:
# NaSbI2N

An optimized crystal structure of NaSbI2N (PBE-GGA, Alexandria).

Structure (extended XYZ):
```
5
Lattice="-5.279 0.566 3.359 2.686 -3.119 4.746 1.361 3.524 1.545" Properties=species:S:1:pos:R:3 pbc="T T T"
I 1.343 -1.559 2.373
I -2.639 0.283 1.680
Sb 0.681 1.762 0.773
N 0.000 0.000 0.000
Na -0.616 0.486 4.825
```

## Properties
V = 161 Å³/cell
space group = No. 123

---

b:
# NaSbI2N

An optimized crystal structure of NaSbI2N (PBE-GGA, Alexandria).

Structure (extended XYZ):
```
5
Lattice="-0.964 -4.774 -4.006 1.019 -4.120 4.665 -3.924 0.042 0.895" Properties=species:S:1:pos:R:3 pbc="T T T"
I 0.510 -2.060 2.332
I -0.482 -2.387 -2.003
Sb 0.000 0.000 0.000
N -1.962 0.021 0.447
Na -1.935 -4.426 0.777
```

## Properties
V = 160 Å³/cell
space group = No. 123

---

Which of them is the most stable? Correct choice: b.

---

a:
# NaScI2N

An optimized crystal structure of NaScI2N (PBE-GGA, Alexandria).

Structure (extended XYZ):
```
5
Lattice="5.791 0.000 0.000 0.000 5.791 0.000 0.000 0.000 4.349" Properties=species:S:1:pos:R:3 pbc="T T T"
I 0.000 2.895 0.000
I 2.895 0.000 0.000
Sc 2.895 2.895 2.174
N 0.000 0.000 2.174
Na 0.000 0.000 0.000
```

## Properties
V = 146 Å³/cell
space group = No. 123

---

b:
# NaScI2N

An optimized crystal structure of NaScI2N (PBE-GGA, Alexandria).

Structure (extended XYZ):
```
5
Lattice="-4.404 -1.268 3.887 1.689 -5.767 0.032 2.506 0.751 3.084" Properties=species:S:1:pos:R:3 pbc="T T T"
I 0.844 -2.884 0.016
I -2.202 -0.634 1.944
Sc 0.000 0.000 0.000
N 1.253 0.375 1.542
Na -0.105 -3.142 3.501
```

## Properties
V = 146 Å³/cell
space group = No. 123

---

Which of them is the most stable? Correct choice: b.